Density functional theory data (PBE) for a relaxed structure of TcHgP2O.

V	17.43	Å³/atom
final energy	-5.340	eV/atom
DOS(E_F)	0.50	states/eV/atom
energy relative to the lowest polymorph listed for this composition	0.0	meV/atom
uncorrected formation energy	-0.3	eV/f.u.

Cell and atoms, written as POSCAR:
```
TcHgP2O
1.0
-4.732 0.622 0.746
-0.034 -3.814 2.965
0.750 2.241 2.891
P Hg O Tc
2 1 1 1
Cartesian
-0.017 -1.907 1.483
-2.366 0.311 0.373
-2.008 -0.475 3.301
0.375 1.121 1.446
0.000 0.000 0.000
```